1.
DFT (PBE) results for a relaxed structure of Pr6Nd2In.

Energy above the most stable polymorph in this dataset in meV per atom: 0
N(E_F) in states/eV/cell: 26.907
Uncorrected energy in eV/f.u.: -41.57
Magnetization in μB per formula unit: 0.00
Volume in Å³/f.u.: 309
Crystal system: tetragonal

Cell lengths 11.0125, 11.0125, 5.0945 Å; angles 90.00, 90.00, 90.00 degrees
With the nearest neighbours (Å) after each atom.
Fractional coordinates of all 18 atoms:
Pr (0.0001, 0.3312, 0.0000)  8 Pr 3.63-3.74, 3 Nd 3.63-3.74, 1 In 3.65
Pr (0.9999, 0.6688, 0.0000)  8 Pr 3.63-3.74, 3 Nd 3.63-3.74, 1 In 3.65
Pr (0.1602, 0.1602, 0.5000)  4 Nd 3.53-3.78, 2 In 3.57, 6 Pr 3.63-3.74
Pr (0.1688, 0.5001, 0.5000)  8 Pr 3.63-3.74, 3 Nd 3.63-3.74, 1 In 3.65
Pr (0.3312, 0.0001, 0.0000)  8 Pr 3.63-3.74, 3 Nd 3.63-3.74, 1 In 3.65
Pr (0.3398, 0.6602, 0.0000)  4 Nd 3.53-3.78, 2 In 3.57, 6 Pr 3.63-3.74
Pr (0.5001, 0.1688, 0.5000)  8 Pr 3.63-3.74, 3 Nd 3.63-3.74, 1 In 3.65
Pr (0.4999, 0.8312, 0.5000)  8 Pr 3.63-3.74, 3 Nd 3.63-3.74, 1 In 3.65
Pr (0.6602, 0.3398, 0.0000)  4 Nd 3.53-3.78, 2 In 3.57, 6 Pr 3.63-3.74
Pr (0.6688, 0.9999, 0.0000)  8 Pr 3.63-3.74, 3 Nd 3.63-3.74, 1 In 3.65
Pr (0.8312, 0.4999, 0.5000)  8 Pr 3.63-3.74, 3 Nd 3.63-3.74, 1 In 3.65
Pr (0.8398, 0.8398, 0.5000)  4 Nd 3.53-3.78, 2 In 3.57, 6 Pr 3.63-3.74
Nd (0.1607, 0.8393, 0.5000)  10 Pr 3.53-3.78, 2 In 3.57
Nd (0.3393, 0.3393, 0.0000)  10 Pr 3.53-3.78, 2 In 3.57
Nd (0.6607, 0.6607, 0.0000)  10 Pr 3.53-3.78, 2 In 3.57
Nd (0.8393, 0.1607, 0.5000)  10 Pr 3.53-3.78, 2 In 3.57
In (0.0000, 0.0000, 0.0000)  8 Pr 3.57-3.65, 4 Nd 3.57
In (0.5000, 0.5000, 0.5000)  8 Pr 3.57-3.65, 4 Nd 3.57

---

2.
DFT (PBE) results for a relaxed structure of Sr2BeRe.

N(E_F) in states/eV/cell: 4.506
Uncorrected energy in eV/f.u.: -17.00
Magnetization in μB per formula unit: 0.79
Volume in Å³/f.u.: 109
Crystal system: orthorhombic

Cell lengths 4.0995, 6.1431, 6.1431 Å; angles 44.63, 90.00, 90.00 degrees
With the nearest neighbours (Å) after each atom.
Fractional coordinates of all 4 atoms:
Sr (0.0000, 0.0000, 0.0000)  2 Be 3.12, 4 Re 3.29
Sr (0.5000, 0.2809, 0.2809)  2 Re 3.14, 4 Be 3.30
Be (0.0000, 0.6819, 0.6819)  2 Re 2.27
Re (0.5000, 0.5965, 0.5965)  2 Be 2.27

---

3.
DFT (PBE) results for a relaxed structure of Ba2PmSi3Au12.

N(E_F) in states/eV/cell: 6.169
Formation energy (no corrections) in kcal/mol of atoms: -4.943
Uncorrected energy in eV/f.u.: -68.05
Magnetization in μB per formula unit: 0.00
Volume in Å³/f.u.: 473
Crystal system: trigonal

Cell lengths 8.6026, 8.6026, 8.6026 Å; angles 62.31, 62.31, 62.31 degrees
With the nearest neighbours (Å) after each atom.
Fractional coordinates of all 18 atoms:
Ba (0.1027, 0.1027, 0.1027)  9 Au 3.32-3.56
Ba (0.8973, 0.8973, 0.8973)  9 Au 3.32-3.56
Pm (0.5000, 0.5000, 0.5000)  6 Au 2.91
Si (0.0000, 0.5000, 0.5000)  6 Au 2.44-2.48
Si (0.5000, 0.0000, 0.5000)  6 Au 2.44-2.48
Si (0.5000, 0.5000, 0.0000)  6 Au 2.44-2.48
Au (0.0972, 0.6307, 0.6307)  1 Si 2.48
Au (0.1846, 0.1846, 0.6295)  2 Si 2.44
Au (0.1846, 0.6295, 0.1846)  2 Si 2.44
Au (0.3693, 0.3693, 0.9028)  1 Si 2.48
Au (0.3693, 0.9028, 0.3693)  1 Si 2.48
Au (0.3705, 0.8154, 0.8154)  2 Si 2.44
Au (0.6295, 0.1846, 0.1846)  2 Si 2.44
Au (0.6307, 0.0972, 0.6307)  1 Si 2.48
Au (0.6307, 0.6307, 0.0972)  1 Si 2.48
Au (0.8154, 0.3705, 0.8154)  2 Si 2.44
Au (0.8154, 0.8154, 0.3705)  2 Si 2.44
Au (0.9028, 0.3693, 0.3693)  1 Si 2.48

---

4.
DFT (PBE) results for a relaxed structure of ScIn2P.

N(E_F) in states/eV/cell: 1.444
Uncorrected energy in eV/f.u.: -18.22
Magnetization in μB per formula unit: 0.00
Volume in Å³/f.u.: 84
Crystal system: tetragonal

Cell lengths 5.4673, 5.4673, 5.4673 Å; angles 133.86, 133.86, 67.30 degrees
With the nearest neighbours (Å) after each atom.
Fractional coordinates of all 4 atoms:
Sc (0.0000, 0.0000, 0.0000)  8 In 3.03-3.13, 4 P 3.13
In (0.2500, 0.7500, 0.5000)  4 P 3.03, 4 In 3.13, 4 Sc 3.13
In (0.5000, 0.5000, 0.0000)  4 Sc 3.03, 4 In 3.13, 4 P 3.13
P (0.7500, 0.2500, 0.5000)  8 In 3.03-3.13, 4 Sc 3.13

---

5.
DFT (PBE) results for a relaxed structure of KCrSnS4.

N(E_F) in states/eV/cell: 0.004
Formation energy (no corrections) in kcal/mol of atoms: -17.812
Uncorrected energy in eV/f.u.: -36.64
Magnetization in μB per formula unit: 3.00
Volume in Å³/f.u.: 175
Crystal system: monoclinic

Cell lengths 6.2582, 3.6827, 7.9073 Å; angles 90.00, 106.01, 90.00 degrees
With the nearest neighbours (Å) after each atom.
Fractional coordinates of all 7 atoms:
K (0.0000, 0.0000, 0.0000)  6 S 3.20-3.31
Cr (0.1371, 0.0000, 0.5082)  6 S 2.43-2.46
Sn (0.6370, 0.5000, 0.5025)  6 S 2.56-2.59
S (0.0478, 0.5000, 0.6816)  2 Cr 2.45, 1 Sn 2.57
S (0.2244, 0.5000, 0.3328)  2 Cr 2.46, 1 Sn 2.56
S (0.5205, 0.0000, 0.6902)  1 Cr 2.43, 2 Sn 2.59
S (0.7578, 0.0000, 0.3184)  1 Cr 2.43, 2 Sn 2.59

---

6.
DFT (PBE) results for a relaxed structure of LiHo3Hg4.

N(E_F) in states/eV/cell: 6.881
Uncorrected energy in eV/f.u.: -20.50
Magnetization in μB per formula unit: 0.00
Volume in Å³/f.u.: 193
Crystal system: trigonal

Cell lengths 8.9790, 8.9790, 8.9790 Å; angles 33.19, 33.19, 33.19 degrees
With the nearest neighbours (Å) after each atom.
Fractional coordinates of all 8 atoms:
Li (0.0000, 0.0000, 0.0000)  8 Hg 3.13-3.14
Ho (0.2544, 0.2544, 0.2544)  8 Hg 3.05-3.34
Ho (0.5000, 0.5000, 0.5000)  8 Hg 3.16-3.19
Ho (0.7456, 0.7456, 0.7456)  8 Hg 3.05-3.34
Hg (0.1229, 0.1229, 0.1229)  1 Li 3.13, 7 Ho 3.16-3.34
Hg (0.3744, 0.3744, 0.3744)  5 Ho 3.05-3.19, 3 Li 3.14
Hg (0.6256, 0.6256, 0.6256)  5 Ho 3.05-3.19, 3 Li 3.14
Hg (0.8771, 0.8771, 0.8771)  1 Li 3.13, 7 Ho 3.16-3.34

---

7.
DFT (PBE) results for a relaxed structure of NbAg2F8.

Energy above the most stable polymorph in this dataset in meV per atom: 0
N(E_F) in states/eV/cell: 3.057
Formation energy (no corrections) in kcal/mol of atoms: -49.742
Uncorrected energy in eV/f.u.: -54.47
Magnetization in μB per formula unit: 0.70
Volume in Å³/f.u.: 184
Crystal system: triclinic

Cell lengths 4.4982, 6.4722, 6.5328 Å; angles 75.33, 89.04, 88.20 degrees
With the nearest neighbours (Å) after each atom.
Fractional coordinates of all 11 atoms:
Nb (0.0000, 0.0000, 0.0000)  6 F 1.93-1.95
Ag (0.2622, 0.3771, 0.3795)  4 F 2.25-2.31
Ag (0.7378, 0.6229, 0.6205)  4 F 2.25-2.31
F (0.2382, 0.0948, 0.7465)  1 Nb 1.93
F (0.2403, 0.6029, 0.5991)  3 Ag 2.25-2.29
F (0.2431, 0.1522, 0.1562)  1 Nb 1.95
F (0.2426, 0.7419, 0.0906)  1 Nb 1.93
F (0.7574, 0.2581, 0.9094)  1 Nb 1.93
F (0.7569, 0.8478, 0.8438)  1 Nb 1.95
F (0.7597, 0.3971, 0.4009)  3 Ag 2.25-2.29
F (0.7618, 0.9052, 0.2535)  1 Nb 1.93

---

8.
DFT (PBE) results for a relaxed structure of Ti3Re.

N(E_F) in states/eV/cell: 7.592
Uncorrected energy in eV/f.u.: -36.11
Magnetization in μB per formula unit: 0.00
Volume in Å³/f.u.: 65
Crystal system: cubic

Cell lengths 4.0167, 4.0167, 4.0167 Å; angles 90.00, 90.00, 90.00 degrees
With the nearest neighbours (Å) after each atom.
Fractional coordinates of all 4 atoms:
Ti (0.0000, 0.0000, 0.5000)  4 Re 2.84, 8 Ti 2.84
Ti (0.0000, 0.5000, 0.0000)  4 Re 2.84, 8 Ti 2.84
Ti (0.5000, 0.0000, 0.0000)  4 Re 2.84, 8 Ti 2.84
Re (0.5000, 0.5000, 0.5000)  12 Ti 2.84

---

9.
DFT (PBE) results for a relaxed structure of CeYCuPb.

N(E_F) in states/eV/cell: 9.843
Uncorrected energy in eV/f.u.: -21.10
Magnetization in μB per formula unit: 1.86
Volume in Å³/f.u.: 104
Crystal system: cubic

Cell lengths 5.2870, 5.2870, 5.2870 Å; angles 60.00, 60.00, 60.00 degrees
With the nearest neighbours (Å) after each atom.
Fractional coordinates of all 4 atoms:
Ce (0.0000, 0.0000, 0.0000)  4 Pb 3.24, 4 Cu 3.24
Y (0.5000, 0.5000, 0.5000)  4 Pb 3.24, 4 Cu 3.24
Cu (0.2500, 0.2500, 0.2500)  4 Y 3.24, 4 Ce 3.24
Pb (0.7500, 0.7500, 0.7500)  4 Y 3.24, 4 Ce 3.24

---

10.
DFT (PBE) results for a relaxed structure of Nd2HoTl4.

Energy above the most stable polymorph in this dataset in meV per atom: 361
N(E_F) in states/eV/cell: 10.107
Uncorrected energy in eV/f.u.: -22.72
Magnetization in μB per formula unit: 0.00
Volume in Å³/f.u.: 265
Crystal system: tetragonal

Cell lengths 8.9253, 8.9253, 8.9253 Å; angles 142.20, 142.20, 54.53 degrees
With the nearest neighbours (Å) after each atom.
Fractional coordinates of all 7 atoms:
Nd (0.1038, 0.1038, 0.0000)  5 Tl 3.22-3.33, 1 Nd 3.29
Nd (0.8962, 0.8962, 0.0000)  5 Tl 3.22-3.33, 1 Nd 3.29
Ho (0.5000, 0.5000, 0.0000)  6 Tl 2.89-3.06
Tl (0.0000, 0.5000, 0.5000)  2 Ho 2.89
Tl (0.3069, 0.3069, 0.0000)  1 Ho 3.06, 1 Nd 3.22
Tl (0.5000, 0.0000, 0.5000)  2 Ho 2.89
Tl (0.6931, 0.6931, 0.0000)  1 Ho 3.06, 1 Nd 3.22